No. 1
## LiTl2CoBr6 (GGA-PBE)

Data for crystalline LiTl2CoBr6 at its relaxed geometry.

DFT total energy, eV per atom: -3.0808
Calculated density, g/cm³: 5.78

a b c (Å): 7.2428 7.2428 7.4416
angles (deg): 120.49 120.49 60.05
Closest atoms and distances in Å follow each position.
Atoms (fractional coordinates):
Br  0.7344  0.2075  0.2009  1 Co 2.44
Br  0.2075  0.7344  0.2009  1 Co 2.44
Br  0.2359  0.2359  0.2898  1 Co 2.43, 1 Li 2.71
Br  0.7641  0.7641  0.7102  1 Co 2.43, 1 Li 2.71
Br  0.7925  0.2656  0.7991  1 Co 2.44
Br  0.2656  0.7925  0.7991  1 Co 2.44
Co  0.0000  0.0000  0.0000  6 Br 2.43-2.44
Li  0.5000  0.5000  0.5000  6 Br 2.71-2.79
Tl  0.7517  0.7517  0.2495  7 Br 3.34-3.65
Tl  0.2483  0.2483  0.7505  7 Br 3.34-3.65

=====

No. 2
## Na3CoBr6 (GGA-PBE)

Data for crystalline Na3CoBr6 at its relaxed geometry.

DFT total energy, eV per atom: -3.1251
Calculated density, g/cm³: 3.54

a b c (Å): 7.2368 7.2368 12.5786
angles (deg): 90.00 90.00 120.02
Closest atoms and distances in Å follow each position.
Atoms (fractional coordinates):
Br  0.3870  0.3227  0.1369  1 Co 2.44
Br  0.6772  0.0643  0.1369  1 Co 2.44
Br  0.9358  0.6130  0.1369  1 Co 2.44
Br  0.3870  0.0642  0.3630  1 Co 2.44
Br  0.9357  0.3228  0.3631  1 Co 2.44
Br  0.6773  0.6130  0.3631  1 Co 2.44
Br  0.3227  0.3870  0.6369  1 Co 2.44
Br  0.0643  0.6772  0.6369  1 Co 2.44
Br  0.6130  0.9358  0.6370  1 Co 2.44
Br  0.0642  0.3870  0.8630  1 Co 2.44
Br  0.3228  0.9357  0.8631  1 Co 2.44
Br  0.6130  0.6773  0.8631  1 Co 2.44
Co  0.6668  0.3332  0.2500  6 Br 2.44
Co  0.3332  0.6668  0.7500  6 Br 2.44
Na  0.3333  0.6666  0.0427  6 Br 2.95-3.01
Na  0.0000  0.0000  0.2500  6 Br 2.96
Na  0.3334  0.6667  0.4573  6 Br 2.95-3.01
Na  0.6666  0.3333  0.5427  6 Br 2.95-3.01
Na  0.0000  0.0000  0.7500  6 Br 2.96
Na  0.6667  0.3334  0.9573  6 Br 2.95-3.01

=====

No. 3
## Na5Co2S4Br (GGA-PBE)

Data for crystalline Na5Co2S4Br at its relaxed geometry.

DFT total energy, eV per atom: -4.0965
Calculated density, g/cm³: 2.85

a b c (Å): 7.1427 7.1427 7.1427
angles (deg): 100.92 100.92 128.40
Closest atoms and distances in Å follow each position.
Atoms (fractional coordinates):
Br  0.5336  0.5336  0.0000  5 Na 2.90-2.98
Co  0.8074  0.3074  0.5000  4 S 2.30-2.31
Co  0.3074  0.8074  0.5000  4 S 2.30-2.31
Na  0.0004  0.0004  0.0000  4 S 2.86, 1 Br 2.90
Na  0.5772  0.1449  0.0000  4 S 2.87, 1 Br 2.98
Na  0.1449  0.5772  0.0000  4 S 2.87, 1 Br 2.98
Na  0.5772  0.5772  0.4323  4 S 2.87, 1 Br 2.98
Na  0.1449  0.1449  0.5677  4 S 2.87, 1 Br 2.98
S  0.3692  0.0566  0.3126  2 Co 2.30-2.31
S  0.0566  0.3692  0.3126  2 Co 2.30-2.31
S  0.7440  0.0566  0.6874  2 Co 2.30-2.31
S  0.0566  0.7440  0.6874  2 Co 2.30-2.31

=====

No. 4
## Rb2CoNiBr6 (GGA-PBE)

Data for crystalline Rb2CoNiBr6 at its relaxed geometry.

DFT total energy, eV per atom: -3.2773
Calculated density, g/cm³: 4.66

a b c (Å): 7.2861 7.2861 7.2861
angles (deg): 60.00 60.00 60.00
Closest atoms and distances in Å follow each position.
Atoms (fractional coordinates):
Br  0.7497  0.2503  0.2503  1 Ni 2.57, 1 Co 2.58
Br  0.2503  0.7497  0.2503  1 Ni 2.57, 1 Co 2.58
Br  0.7497  0.7497  0.2503  1 Ni 2.57, 1 Co 2.58
Br  0.2503  0.2503  0.7497  1 Ni 2.57, 1 Co 2.58
Br  0.7497  0.2503  0.7497  1 Ni 2.57, 1 Co 2.58
Br  0.2503  0.7497  0.7497  1 Ni 2.57, 1 Co 2.58
Co  0.0000  0.0000  0.0000  6 Br 2.58
Ni  0.5000  0.5000  0.5000  6 Br 2.57
Rb  0.2500  0.2500  0.2500  12 Br 3.64
Rb  0.7500  0.7500  0.7500  12 Br 3.64

=====

Q: The lowest DFT total energy belongs to which entry?
A: Na5Co2S4Br